GGA+U Cs3Sm3MoO8, relaxed; space group = C2/m, No. 12; spin magnetization = 0.133 μB per atom; DFT total energy = -6.638 eV per atom
1.0
-6.114 -0.160 3.470
2.099 -5.680 -3.688
3.901 1.360 6.936
Cs Sm Mo O
3 3 1 8
Direct
0.000 0.000 0.000
0.000 0.500 0.000
0.500 0.500 0.000
0.500 0.000 0.500
0.500 0.500 0.500
0.000 0.500 0.500
0.000 0.000 0.500
0.280 0.560 0.336
0.720 0.440 0.664
0.791 0.583 0.342
0.209 0.417 0.658
0.800 0.048 0.346
0.200 0.952 0.654
0.248 0.048 0.346
0.752 0.952 0.654